# ZrBe2Mo

A geometry-optimized ZrBe2Mo structure (GGA-PBE, Alexandria via LeMat-Bulk).

```
ZrBe2Mo
1.0
6.0484 0.0000 0.0000
0.0000 6.0484 0.0000
0.0000 0.0000 6.0484
Zr Be Mo
4 8 4
Direct
0.0000 0.0000 0.0000 Zr
0.0000 0.5000 0.5000 Zr
0.5000 0.0000 0.5000 Zr
0.5000 0.5000 0.0000 Zr
0.2500 0.2500 0.2500 Be
0.2500 0.2500 0.7500 Be
0.2500 0.7500 0.2500 Be
0.2500 0.7500 0.7500 Be
0.7500 0.2500 0.2500 Be
0.7500 0.2500 0.7500 Be
0.7500 0.7500 0.2500 Be
0.7500 0.7500 0.7500 Be
0.0000 0.0000 0.5000 Mo
0.0000 0.5000 0.0000 Mo
0.5000 0.0000 0.0000 Mo
0.5000 0.5000 0.5000 Mo
```

Output
- DFT formation energy (meV per atom) = 70.6
- polymorph energy (0 for the lowest one) (eV/atom) = 0.160
- total magnetization (μB/f.u.) = 0.00
- symmetry = No. 225
- volume (Å³/cell) = 221
- crystal system = cubic

# ZrBe9Mo2

A geometry-optimized ZrBe9Mo2 structure (GGA-PBE, Alexandria via LeMat-Bulk).

```
ZrBe9Mo2
1.0
4.4977 0.0000 0.0000
-2.2488 3.8951 0.0000
0.0000 0.0000 14.1722
Zr Be Mo
2 18 4
Direct
0.3333 0.6667 0.2500 Zr
0.6667 0.3333 0.7500 Zr
0.0000 0.0000 0.0000 Be
0.0000 0.0000 0.2500 Be
0.0000 0.0000 0.5000 Be
0.0000 0.0000 0.7500 Be
0.1695 0.3390 0.6240 Be
0.1695 0.3390 0.8760 Be
0.1695 0.8305 0.6240 Be
0.1695 0.8305 0.8760 Be
0.3333 0.6667 0.7500 Be
0.3390 0.1695 0.1240 Be
0.3390 0.1695 0.3760 Be
0.6610 0.8305 0.6240 Be
0.6610 0.8305 0.8760 Be
0.6667 0.3333 0.2500 Be
0.8305 0.1695 0.1240 Be
0.8305 0.1695 0.3760 Be
0.8305 0.6610 0.1240 Be
0.8305 0.6610 0.3760 Be
0.3333 0.6667 0.0340 Mo
0.3333 0.6667 0.4660 Mo
0.6667 0.3333 0.5340 Mo
0.6667 0.3333 0.9660 Mo
```

Output
- DFT formation energy (meV per atom) = -289.7
- polymorph energy (0 for the lowest one) (eV/atom) = 0.010
- total magnetization (μB/f.u.) = 0.00
- symmetry = No. 194
- volume (Å³/cell) = 248
- crystal system = hexagonal

# Zr2BeMo

A geometry-optimized Zr2BeMo structure (GGA-PBE, Alexandria via LeMat-Bulk).

```
Zr2BeMo
1.0
9.5572 0.0000 0.0000
0.0000 3.4184 0.0000
-1.4687 0.0000 4.3329
Zr Be Mo
4 2 2
Direct
0.0000 0.0000 0.0000 Zr
0.2196 0.0000 0.6702 Zr
0.5000 0.5000 0.0000 Zr
0.7196 0.5000 0.6702 Zr
0.4714 0.0000 0.4912 Be
0.9714 0.5000 0.4912 Be
0.2888 0.5000 0.2493 Mo
0.7888 0.0000 0.2493 Mo
```

Output
- DFT formation energy (meV per atom) = 89.6
- total magnetization (μB/f.u.) = 0.00
- symmetry = No. 8
- volume (Å³/cell) = 142
- crystal system = monoclinic

# ZrBe4Mo

A geometry-optimized ZrBe4Mo structure (GGA-PBE, Alexandria via LeMat-Bulk).

```
ZrBe4Mo
1.0
0.0000 3.2841 3.2841
3.2841 0.0000 3.2841
3.2841 3.2841 0.0000
Zr Be Mo
1 4 1
Direct
0.0000 0.0000 0.0000 Zr
0.3766 0.3766 0.3766 Be
0.3766 0.3766 0.8701 Be
0.3766 0.8701 0.3766 Be
0.8701 0.3766 0.3766 Be
0.7500 0.7500 0.7500 Mo
```

Output
- DFT formation energy (meV per atom) = -167.9
- total magnetization (μB/f.u.) = 0.00
- symmetry = No. 216
- volume (Å³/cell) = 71
- crystal system = cubic

# Zr2BeMo

A geometry-optimized Zr2BeMo structure (GGA-PBE, Alexandria via LeMat-Bulk).

```
Zr2BeMo
1.0
2.8575 0.0000 0.0000
0.0000 2.8575 0.0000
0.0000 0.0000 8.5662
Zr Be Mo
2 1 1
Direct
0.0000 0.0000 0.2178 Zr
0.0000 0.0000 0.7822 Zr
0.5000 0.5000 0.0000 Be
0.5000 0.5000 0.5000 Mo
```

Output
- DFT formation energy (meV per atom) = 187.9
- total magnetization (μB/f.u.) = 0.00
- symmetry = No. 123
- volume (Å³/cell) = 70
- crystal system = tetragonal

# BeN

A geometry-optimized BeN structure (GGA-PBE, Alexandria via LeMat-Bulk).

```
BeN
1.0
3.5342 0.0000 0.0000
0.0000 4.6605 0.0000
-1.3342 0.0000 1.7352
Be N
2 2
Direct
0.0000 0.0000 0.0000 Be
0.5000 0.5000 0.0000 Be
0.0000 0.2920 0.5000 N
0.5000 0.7920 0.5000 N
```

Output
- polymorph energy (0 for the lowest one) (eV/atom) = 0.311
- total magnetization (μB/f.u.) = 0.00
- formation energy (no corrections) (eV per atom) = -0.251
- symmetry = No. 5
- volume (Å³/cell) = 29
- crystal system = monoclinic

# BeN

A geometry-optimized BeN structure (GGA-PBE, Alexandria via LeMat-Bulk).

```
BeN
1.0
3.9562 0.0000 0.0000
0.0000 3.9562 0.0000
0.0000 0.0000 3.9562
Be N
4 4
Direct
0.0000 0.0000 0.0000 Be
0.0000 0.5000 0.5000 Be
0.5000 0.0000 0.5000 Be
0.5000 0.5000 0.0000 Be
0.2500 0.2500 0.7500 N
0.2500 0.7500 0.2500 N
0.7500 0.2500 0.2500 N
0.7500 0.7500 0.7500 N
```

Output
- polymorph energy (0 for the lowest one) (eV/atom) = 0.474
- total magnetization (μB/f.u.) = 0.27
- formation energy (no corrections) (eV per atom) = -0.089
- symmetry = No. 216
- volume (Å³/cell) = 62
- crystal system = cubic

# BeN

A geometry-optimized BeN structure (GGA-PBE, Alexandria via LeMat-Bulk).

```
BeN
1.0
4.4723 0.0000 0.0000
0.0000 4.4723 0.0000
0.0000 0.0000 2.9261
Be N
4 4
Direct
0.2463 0.2463 0.0000 Be
0.2537 0.7463 0.5000 Be
0.7463 0.2537 0.5000 Be
0.7537 0.7537 0.0000 Be
0.1244 0.8756 0.0000 N
0.3756 0.3756 0.5000 N
0.6244 0.6244 0.5000 N
0.8756 0.1244 0.0000 N
```

Output
- polymorph energy (0 for the lowest one) (eV/atom) = 0.000
- total magnetization (μB/f.u.) = 0.00
- formation energy (no corrections) (eV per atom) = -0.563
- symmetry = No. 136
- volume (Å³/cell) = 59
- crystal system = tetragonal